Entry from Alexandria: NdYCd after structural relaxation (GGA-PBE).

extended XYZ file:
```
3
Lattice="-2.885 1.397 1.785 1.891 -1.938 4.572 1.378 4.879 -1.589" Properties=species:S:1:pos:R:3 pbc="T T T"
Y 0.387 3.169 1.183
Nd -2.777 1.344 1.718
Cd -0.112 1.221 3.651
```

For the formation enthalpy at 0 K, the calculation gives -0.082 eV per atom. For the energy above the most stable polymorph in this dataset, the calculation gives 122 meV per atom. As for the density: 6.40 Mg/m³. Its final energy is -4.1307 eV per atom.